[1]
The following is a DFT calculation (SCAN) of a crystal of FeSbP2O relaxed with PBEsol.

Geometry as extended XYZ:
```
5
Lattice="5.000 0.000 0.000 0.000 5.000 0.000 0.000 0.000 3.835" Properties=species:S:1:pos:R:3 pbc="T T T"
Fe 0.000 0.000 0.000
Sb 2.500 2.500 1.918
P 0.000 2.500 1.918
P 2.500 0.000 1.918
O 2.500 2.500 0.000
```

## Properties
VASP energy ... -15.756 eV per atom
Calculated volume ... 19.18 A^3/atom
Formation energy (no corrections) ... 728 meV per atom
Size of the total moment ... 3.56 Bohr magnetons per cell

=====

[2]
The following is a DFT calculation (SCAN) of a crystal of FeSbP4O14 relaxed with PBEsol.

Geometry as extended XYZ:
```
80
Lattice="7.905 0.000 0.000 0.000 15.973 0.000 0.000 0.000 7.913" Properties=species:S:1:pos:R:3 pbc="T T T"
Fe 0.073 2.018 0.000
Fe 3.880 10.005 3.956
Fe 4.025 5.968 0.000
Fe 7.832 13.955 3.956
Sb 0.168 6.022 3.984
Sb 3.784 14.009 0.028
Sb 4.121 1.964 3.984
Sb 7.737 9.951 0.028
P 0.734 13.017 7.025
P 0.812 9.078 4.945
P 0.835 5.186 7.058
P 0.960 1.159 4.765
P 2.992 9.145 0.808
P 3.117 13.173 3.102
P 3.141 1.091 0.988
P 3.219 5.031 3.069
P 4.686 10.943 7.025
P 4.764 14.882 4.945
P 4.788 2.800 7.058
P 4.913 6.828 4.765
P 6.945 14.815 0.808
P 7.070 10.787 3.102
P 7.093 6.895 0.988
P 7.172 2.956 3.069
O 0.058 6.467 7.656
O 0.090 5.028 5.681
O 0.190 6.831 2.181
O 0.191 15.931 4.304
O 0.493 2.460 3.930
O 0.528 3.957 7.871
O 0.532 11.492 6.929
O 0.826 13.665 5.685
O 0.910 1.550 6.222
O 1.126 7.580 4.697
O 1.513 8.997 0.345
O 1.673 13.593 2.990
O 1.866 1.861 1.101
O 1.970 5.260 3.921
O 1.982 13.247 7.877
O 2.086 9.847 5.058
O 2.279 5.607 6.947
O 2.440 1.010 4.301
O 2.827 15.567 0.741
O 3.042 9.537 2.266
O 3.126 5.678 1.729
O 3.421 3.505 2.972
O 3.425 11.944 3.915
O 3.460 10.447 7.886
O 3.761 7.945 0.347
O 3.762 14.818 6.138
O 3.863 13.014 1.724
O 3.894 14.454 3.700
O 4.011 1.519 7.656
O 4.042 2.959 5.681
O 4.143 1.156 2.181
O 4.144 8.029 4.304
O 4.446 5.526 3.930
O 4.480 4.029 7.871
O 4.484 12.468 6.929
O 4.779 10.295 5.685
O 4.863 6.437 6.222
O 5.078 0.407 4.697
O 5.465 14.963 0.345
O 5.626 10.367 2.990
O 5.819 6.126 1.101
O 5.923 2.726 3.921
O 5.935 10.713 7.877
O 6.039 14.113 5.058
O 6.232 2.380 6.947
O 6.392 6.976 4.301
O 6.779 8.393 0.741
O 6.995 14.423 2.266
O 7.079 2.309 1.729
O 7.373 4.482 2.972
O 7.377 12.016 3.915
O 7.412 13.513 7.886
O 7.714 0.042 0.347
O 7.715 9.142 6.138
O 7.815 10.946 1.724
O 7.847 9.506 3.700
```

## Properties
VASP energy ... -11.375 eV per atom
Calculated volume ... 12.49 A^3/atom
Formation energy (no corrections) ... -2164 meV per atom
Size of the total moment ... 20.03 Bohr magnetons per cell